VASP calculation (PBE) on Dy2FeSi3 after structural relaxation.

The structure in POSCAR format:
```
Dy2FeSi3
1.0
0.000 4.035 6.968
3.981 0.000 6.968
3.981 4.035 0.000
Dy Fe Si
4 2 6
Cartesian
5.984 4.035 6.968 Dy
1.990 2.018 3.484 Dy
5.971 6.053 10.452 Dy
1.977 4.035 6.968 Dy
3.981 4.035 2.301 Fe
3.981 4.035 11.635 Fe
3.981 1.963 5.773 Si
3.981 4.035 4.570 Si
3.981 1.963 8.162 Si
3.981 6.108 5.773 Si
3.981 4.035 9.366 Si
3.981 6.108 8.162 Si
```

Total magnetic moment ... 2.5 Bohr magnetons per cell
Uncorrected formation energy ... -0.640 eV/atom
Calculated density ... 6.90 g/cm³
Raw total energy ... -6.2964 eV/atom